Material: Li2Mn3NbO8
Method: DFT, PBE+U
State: relaxed

Structure (POSCAR):
```
Li2Mn3NbO8
1.0
3.030 -5.152 0.000
3.030 5.152 0.000
-0.644 0.000 9.909
Li Mn Nb O
4 6 2 16
Direct
0.004 0.996 0.500
0.342 0.673 0.084
0.673 0.342 0.584
0.996 0.004 0.000
0.164 0.829 0.776
0.167 0.336 0.774
0.336 0.167 0.274
0.655 0.830 0.773
0.829 0.164 0.276
0.830 0.655 0.273
0.352 0.684 0.499
0.684 0.352 0.999
0.035 0.511 0.656
0.135 0.797 0.396
0.161 0.314 0.394
0.314 0.161 0.894
0.339 0.672 0.873
0.465 0.971 0.629
0.495 0.534 0.641
0.511 0.035 0.156
0.534 0.495 0.141
0.652 0.826 0.402
0.672 0.339 0.373
0.797 0.135 0.896
0.826 0.652 0.902
0.971 0.465 0.129
0.984 0.989 0.687
0.989 0.984 0.187
```

Crystal system = monoclinic
Size of the total moment = 12.00 μB per formula unit
Uncorrected energy = -7.39 eV per atom